(1)
A plane-wave DFT calculation with PBE was carried out for NaLiBPd2 after structural relaxation.

```
data_NaLiBPd2
_symmetry_space_group_name_H-M 'P 1'
_symmetry_Int_Tables_number 1
_cell_length_a 4.118
_cell_length_b 4.118
_cell_length_c 4.836
_cell_angle_alpha 90.00
_cell_angle_beta 90.00
_cell_angle_gamma 90.00
loop_
_symmetry_equiv_pos_as_xyz
'x,y,z'
loop_
_atom_site_label
_atom_site_type_symbol
_atom_site_fract_x
_atom_site_fract_y
_atom_site_fract_z
Na1 Na 0.000 0.000 0.000
Li1 Li 0.500 0.500 0.000
B1 B 0.000 0.000 0.500
Pd1 Pd 0.000 0.500 0.500
Pd2 Pd 0.500 0.000 0.500
```

Results
Energy relative to the elements in eV per atom: -0.120
Total magnetic moment in μB per cell: 0.00



(2)
A plane-wave DFT calculation with PBE was carried out for NaLiBPd2 after structural relaxation.

```
data_NaLiBPd2
_symmetry_space_group_name_H-M 'P 1'
_symmetry_Int_Tables_number 1
_cell_length_a 4.137
_cell_length_b 4.137
_cell_length_c 4.543
_cell_angle_alpha 90.00
_cell_angle_beta 90.00
_cell_angle_gamma 90.00
loop_
_symmetry_equiv_pos_as_xyz
'x,y,z'
loop_
_atom_site_label
_atom_site_type_symbol
_atom_site_fract_x
_atom_site_fract_y
_atom_site_fract_z
Na1 Na 0.000 0.000 0.000
Li1 Li 0.500 0.500 0.000
B1 B 0.500 0.500 0.500
Pd1 Pd 0.000 0.500 0.500
Pd2 Pd 0.500 0.000 0.500
```

Results
Energy relative to the elements in eV per atom: -0.221
Total magnetic moment in μB per cell: 0.00



(3)
A plane-wave DFT calculation with PBE was carried out for Na2LiB2Pd5 after structural relaxation.

```
data_Na2LiB2Pd5
_symmetry_space_group_name_H-M 'P 1'
_symmetry_Int_Tables_number 1
_cell_length_a 9.783
_cell_length_b 9.783
_cell_length_c 2.958
_cell_angle_alpha 90.00
_cell_angle_beta 90.00
_cell_angle_gamma 90.00
loop_
_symmetry_equiv_pos_as_xyz
'x,y,z'
loop_
_atom_site_label
_atom_site_type_symbol
_atom_site_fract_x
_atom_site_fract_y
_atom_site_fract_z
Na1 Na 0.176 0.324 0.000
Na2 Na 0.324 0.824 0.000
Na3 Na 0.676 0.176 0.000
Na4 Na 0.824 0.676 0.000
Li1 Li 0.000 0.000 0.000
Li2 Li 0.500 0.500 0.000
B1 B 0.126 0.626 0.000
B2 B 0.374 0.126 0.000
B3 B 0.626 0.874 0.000
B4 B 0.874 0.374 0.000
Pd1 Pd 0.000 0.500 0.500
Pd2 Pd 0.070 0.780 0.500
Pd3 Pd 0.220 0.070 0.500
Pd4 Pd 0.280 0.570 0.500
Pd5 Pd 0.430 0.280 0.500
Pd6 Pd 0.500 0.000 0.500
Pd7 Pd 0.570 0.720 0.500
Pd8 Pd 0.720 0.430 0.500
Pd9 Pd 0.780 0.930 0.500
Pd10 Pd 0.930 0.220 0.500
```

Results
Energy relative to the elements in eV per atom: -0.242
Total magnetic moment in μB per cell: 0.00



(4)
A plane-wave DFT calculation with PBE was carried out for NaLiBPt2 after structural relaxation.

```
data_NaLiBPt2
_symmetry_space_group_name_H-M 'P 1'
_symmetry_Int_Tables_number 1
_cell_length_a 4.100
_cell_length_b 4.100
_cell_length_c 4.808
_cell_angle_alpha 90.00
_cell_angle_beta 90.00
_cell_angle_gamma 90.00
loop_
_symmetry_equiv_pos_as_xyz
'x,y,z'
loop_
_atom_site_label
_atom_site_type_symbol
_atom_site_fract_x
_atom_site_fract_y
_atom_site_fract_z
Na1 Na 0.000 0.000 0.000
Li1 Li 0.500 0.500 0.000
B1 B 0.000 0.000 0.500
Pt1 Pt 0.000 0.500 0.500
Pt2 Pt 0.500 0.000 0.500
```

Results
Energy relative to the elements in eV per atom: -0.313
Total magnetic moment in μB per cell: 0.00



(5)
A plane-wave DFT calculation with PBE was carried out for NaLiBPt2 after structural relaxation.

```
data_NaLiBPt2
_symmetry_space_group_name_H-M 'P 1'
_symmetry_Int_Tables_number 1
_cell_length_a 4.116
_cell_length_b 4.116
_cell_length_c 4.561
_cell_angle_alpha 90.00
_cell_angle_beta 90.00
_cell_angle_gamma 90.00
loop_
_symmetry_equiv_pos_as_xyz
'x,y,z'
loop_
_atom_site_label
_atom_site_type_symbol
_atom_site_fract_x
_atom_site_fract_y
_atom_site_fract_z
Na1 Na 0.000 0.000 0.000
Li1 Li 0.500 0.500 0.000
B1 B 0.500 0.500 0.500
Pt1 Pt 0.000 0.500 0.500
Pt2 Pt 0.500 0.000 0.500
```

Results
Energy relative to the elements in eV per atom: -0.405
Total magnetic moment in μB per cell: 0.00



(6)
A plane-wave DFT calculation with PBE was carried out for NaLiBRh2 after structural relaxation.

```
data_NaLiBRh2
_symmetry_space_group_name_H-M 'P 1'
_symmetry_Int_Tables_number 1
_cell_length_a 4.066
_cell_length_b 4.066
_cell_length_c 4.745
_cell_angle_alpha 90.00
_cell_angle_beta 90.00
_cell_angle_gamma 90.00
loop_
_symmetry_equiv_pos_as_xyz
'x,y,z'
loop_
_atom_site_label
_atom_site_type_symbol
_atom_site_fract_x
_atom_site_fract_y
_atom_site_fract_z
Na1 Na 0.000 0.000 0.000
Li1 Li 0.500 0.500 0.000
B1 B 0.000 0.000 0.500
Rh1 Rh 0.000 0.500 0.500
Rh2 Rh 0.500 0.000 0.500
```

Results
Energy relative to the elements in eV per atom: 0.028
Total magnetic moment in μB per cell: 0.00



(7)
A plane-wave DFT calculation with PBE was carried out for NaLiBRh2 after structural relaxation.

```
data_NaLiBRh2
_symmetry_space_group_name_H-M 'P 1'
_symmetry_Int_Tables_number 1
_cell_length_a 4.083
_cell_length_b 4.083
_cell_length_c 4.469
_cell_angle_alpha 90.00
_cell_angle_beta 90.00
_cell_angle_gamma 90.00
loop_
_symmetry_equiv_pos_as_xyz
'x,y,z'
loop_
_atom_site_label
_atom_site_type_symbol
_atom_site_fract_x
_atom_site_fract_y
_atom_site_fract_z
Na1 Na 0.000 0.000 0.000
Li1 Li 0.500 0.500 0.000
B1 B 0.500 0.500 0.500
Rh1 Rh 0.000 0.500 0.500
Rh2 Rh 0.500 0.000 0.500
```

Results
Energy relative to the elements in eV per atom: -0.076
Total magnetic moment in μB per cell: 0.00



(8)
A plane-wave DFT calculation with PBE was carried out for NaLi2BRh after structural relaxation.

```
data_NaLi2BRh
_symmetry_space_group_name_H-M 'P 1'
_symmetry_Int_Tables_number 1
_cell_length_a 4.469
_cell_length_b 4.469
_cell_length_c 3.970
_cell_angle_alpha 90.00
_cell_angle_beta 90.00
_cell_angle_gamma 90.00
loop_
_symmetry_equiv_pos_as_xyz
'x,y,z'
loop_
_atom_site_label
_atom_site_type_symbol
_atom_site_fract_x
_atom_site_fract_y
_atom_site_fract_z
Na1 Na 0.000 0.000 0.000
Li1 Li 0.000 0.500 0.500
Li2 Li 0.500 0.000 0.500
B1 B 0.500 0.500 0.500
Rh1 Rh 0.500 0.500 0.000
```

Results
Energy relative to the elements in eV per atom: 0.010
Total magnetic moment in μB per cell: 0.00



> Which formula does entry 5 have?

NaLiBPt2



> What is the total magnetic moment in the second record?

0.00 μB per cell



> total magnetic moment of number 3 (Na2LiB2Pd5)?

0.00 μB per cell



> Which value of energy relative to the elements does entry 2 give?

-0.221 eV per atom